No. 1
Here is an optimized crystal structure of LaZnInNi from Alexandria. Energies are from GGA-PBE.

Properties
Total moment (μB/atom): 0.000
Space-group type: F-43m, No. 216
V (Å³ per cell): 82.2
DFT formation energy (eV/atom): -0.3054

Cell: 4.881 4.881 4.881 Å, 60.00 60.00 60.00°
Fractional coordinates of all 4 atoms:
Ni1 0.250 0.250 0.250
Zn1 0.750 0.750 0.750
In1 0.000 0.000 0.000
La1 0.500 0.500 0.500


No. 2
Here is an optimized crystal structure of La2Zn2InNi5 from Alexandria. Energies are from GGA-PBE.

Properties
Total moment (μB/atom): 0.000
Space-group type: P4/mbm, No. 127
V (Å³ per cell): 342.5
DFT formation energy (eV/atom): -0.2110

Cell: 3.642 9.698 9.698 Å, 90.00 90.00 90.00°
Fractional coordinates of all 20 atoms:
La1 0.000 0.682 0.182
La2 0.000 0.318 0.818
La3 0.000 0.182 0.318
La4 0.000 0.818 0.682
Zn1 0.000 0.113 0.613
Zn2 0.000 0.887 0.387
Zn3 0.000 0.613 0.887
Zn4 0.000 0.387 0.113
In1 0.000 0.000 0.000
In2 0.000 0.500 0.500
Ni1 0.500 0.218 0.061
Ni2 0.500 0.782 0.939
Ni3 0.500 0.061 0.782
Ni4 0.500 0.718 0.439
Ni5 0.500 0.939 0.218
Ni6 0.500 0.282 0.561
Ni7 0.500 0.561 0.718
Ni8 0.500 0.439 0.282
Ni9 0.500 0.500 0.000
Ni10 0.500 0.000 0.500


No. 3
Here is an optimized crystal structure of LaZnIn2Ni from Alexandria. Energies are from GGA-PBE.

Properties
Total moment (μB/atom): 0.000
Space-group type: P4/mmm, No. 123
V (Å³ per cell): 115.8
DFT formation energy (eV/atom): -0.2730

Cell: 4.939 4.939 4.749 Å, 90.00 90.00 90.00°
Fractional coordinates of all 5 atoms:
Ni1 0.000 0.000 0.000
Zn1 0.000 0.000 0.500
In1 0.000 0.500 0.000
In2 0.500 0.000 0.000
La1 0.500 0.500 0.500